A) TiFeNiRh (GGA-PBE, relaxed); density of states at the Fermi level = 0.799 states/eV/atom; V = 13.04 Å³ per atom; size of the total moment = 2.63 μB per formula unit
1.0
3.6610 0.0000 0.0000
0.0000 3.7181 0.0000
0.0000 0.0000 3.8330
Ti Fe Ni Rh
1 1 1 1
Direct
0.0000 0.0000 0.0000
0.0000 0.5000 0.5000
0.5000 0.0000 0.5000
0.5000 0.5000 0.0000

=====

B) TiFeNiRh (GGA-PBE, relaxed); density of states at the Fermi level = 1.255 states/eV/atom; V = 13.42 Å³ per atom; size of the total moment = 3.19 μB per formula unit
1.0
0.0000 2.9942 2.9942
2.9942 0.0000 2.9942
2.9942 2.9942 0.0000
Ti Fe Ni Rh
1 1 1 1
Direct
0.0000 0.0000 0.0000
0.5000 0.5000 0.5000
0.2500 0.2500 0.2500
0.7500 0.7500 0.7500

=====

Which of them is most stable, and which least? Most stable: A); least stable: B).

=====

A) Fe2NiRu2 (GGA-PBE, relaxed); density of states at the Fermi level = 1.439 states/eV/atom; V = 12.59 Å³ per atom; size of the total moment = 0.00 μB per formula unit
1.0
6.9226 0.0000 0.0000
0.0000 6.9226 0.0000
0.0000 0.0000 2.6267
Fe Ni Ru
4 2 4
Direct
0.1202 0.3798 0.0000
0.3798 0.8798 0.0000
0.6202 0.1202 0.0000
0.8798 0.6202 0.0000
0.0000 0.0000 0.0000
0.5000 0.5000 0.0000
0.1740 0.6740 0.5000
0.3260 0.1740 0.5000
0.6740 0.8260 0.5000
0.8260 0.3260 0.5000

=====

B) Fe2NiRu2 (GGA-PBE, relaxed); density of states at the Fermi level = 1.269 states/eV/atom; V = 13.00 Å³ per atom; size of the total moment = 2.51 μB per formula unit
1.0
7.0397 0.0000 0.0000
0.0000 7.0397 0.0000
0.0000 0.0000 2.6233
Fe Ni Ru
4 2 4
Direct
0.1672 0.3328 0.0000
0.3328 0.8328 0.0000
0.6672 0.1672 0.0000
0.8328 0.6672 0.0000
0.0000 0.0000 0.5000
0.5000 0.5000 0.5000
0.1300 0.6300 0.5000
0.3700 0.1300 0.5000
0.6300 0.8700 0.5000
0.8700 0.3700 0.5000

=====

Which of them is most stable, and which least? Most stable: A); least stable: B).

=====

A) FeNiRu3 (GGA-PBE, relaxed); density of states at the Fermi level = 2.448 states/eV/atom; V = 16.31 Å³ per atom; size of the total moment = 0.00 μB per formula unit
1.0
4.3363 0.0000 0.0000
0.0000 4.3363 0.0000
0.0000 0.0000 4.3363
Fe Ni Ru
1 1 3
Direct
0.0000 0.0000 0.0000
0.5000 0.5000 0.5000
0.0000 0.5000 0.5000
0.5000 0.0000 0.5000
0.5000 0.5000 0.0000

=====

B) FeNiRu3 (GGA-PBE, relaxed); density of states at the Fermi level = 1.408 states/eV/atom; V = 16.48 Å³ per atom; size of the total moment = 2.32 μB per formula unit
1.0
4.3515 0.0000 0.0000
0.0000 4.3515 0.0000
0.0000 0.0000 4.3515
Fe Ni Ru
1 1 3
Direct
0.0000 0.0000 0.0000
0.5000 0.5000 0.5000
0.0000 0.0000 0.5000
0.0000 0.5000 0.0000
0.5000 0.0000 0.0000

=====

Which of them is most stable, and which least? Most stable: B); least stable: A).

=====

A) TaFeNiRu (GGA-PBE, relaxed); density of states at the Fermi level = 0.923 states/eV/atom; V = 13.46 Å³ per atom; size of the total moment = 2.14 μB per formula unit
1.0
3.7243 0.0000 0.0000
0.0000 3.7892 0.0000
0.0000 0.0000 3.8154
Ta Fe Ni Ru
1 1 1 1
Direct
0.0000 0.0000 0.0000
0.0000 0.5000 0.5000
0.5000 0.0000 0.5000
0.5000 0.5000 0.0000

=====

B) TaFeNiRu (GGA-PBE, relaxed); density of states at the Fermi level = 0.777 states/eV/atom; V = 13.97 Å³ per atom; size of the total moment = 3.05 μB per formula unit
1.0
0.0000 3.0345 3.0345
3.0345 0.0000 3.0345
3.0345 3.0345 0.0000
Ta Fe Ni Ru
1 1 1 1
Direct
0.0000 0.0000 0.0000
0.5000 0.5000 0.5000
0.2500 0.2500 0.2500
0.7500 0.7500 0.7500

=====

Which of them is most stable, and which least? Most stable: A); least stable: B).

=====

A) VFeNiRu (GGA-PBE, relaxed); density of states at the Fermi level = 1.692 states/eV/atom; V = 12.57 Å³ per atom; size of the total moment = 2.82 μB per formula unit
1.0
0.0000 2.9294 2.9294
2.9294 0.0000 2.9294
2.9294 2.9294 0.0000
V Fe Ni Ru
1 1 1 1
Direct
0.0000 0.0000 0.0000
0.7500 0.7500 0.7500
0.5000 0.5000 0.5000
0.2500 0.2500 0.2500

=====

B) VFeNiRu (GGA-PBE, relaxed); density of states at the Fermi level = 0.966 states/eV/atom; V = 12.31 Å³ per atom; size of the total moment = 1.80 μB per formula unit
1.0
3.6178 0.0000 0.0000
0.0000 3.6302 0.0000
0.0000 0.0000 3.7490
V Fe Ni Ru
1 1 1 1
Direct
0.0000 0.0000 0.0000
0.0000 0.5000 0.5000
0.5000 0.0000 0.5000
0.5000 0.5000 0.0000

=====

Which of them is most stable, and which least? Most stable: B); least stable: A).

=====

A) Fe3NiS (GGA-PBE, relaxed); density of states at the Fermi level = 1.526 states/eV/atom; V = 13.90 Å³ per atom; size of the total moment = 7.58 μB per formula unit
1.0
4.1115 0.0000 0.0000
0.0000 4.1115 0.0000
0.0000 0.0000 4.1115
Fe Ni S
3 1 1
Direct
0.0000 0.0000 0.5000
0.0000 0.5000 0.0000
0.5000 0.0000 0.0000
0.5000 0.5000 0.5000
0.0000 0.0000 0.0000

=====

B) Fe3NiS (GGA-PBE, relaxed); density of states at the Fermi level = 1.222 states/eV/atom; V = 16.51 Å³ per atom; size of the total moment = 10.01 μB per formula unit
1.0
4.3544 0.0000 0.0000
0.0000 4.3544 0.0000
0.0000 0.0000 4.3544
Fe Ni S
3 1 1
Direct
0.0000 0.0000 0.5000
0.0000 0.5000 0.0000
0.5000 0.0000 0.0000
0.0000 0.0000 0.0000
0.5000 0.5000 0.5000

=====

Which of them is most stable, and which least? Most stable: A); least stable: B).

=====

A) Fe2NiSb8 (GGA-PBE, relaxed); density of states at the Fermi level = 0.820 states/eV/atom; V = 25.08 Å³ per atom; size of the total moment = 1.70 μB per formula unit
1.0
7.0154 -4.0583 0.0000
7.0154 4.0583 0.0000
-0.0008 0.0000 4.8452
Fe Ni Sb
2 1 8
Direct
0.1664 0.1664 0.2643
0.8336 0.8336 0.7357
0.5000 0.5000 0.5000
0.1659 0.1659 0.7567
0.1871 0.6563 0.7907
0.3433 0.3433 0.2090
0.3437 0.8129 0.2093
0.6563 0.1871 0.7907
0.6567 0.6567 0.7910
0.8129 0.3437 0.2093
0.8341 0.8341 0.2433

=====

B) Fe2NiSb8 (GGA-PBE, relaxed); density of states at the Fermi level = 0.666 states/eV/atom; V = 24.87 Å³ per atom; size of the total moment = 0.00 μB per formula unit
1.0
6.9596 -4.0970 0.0000
6.9596 4.0970 0.0000
-0.2179 0.0000 4.7972
Fe Ni Sb
2 1 8
Direct
0.1728 0.1728 0.2684
0.8272 0.8272 0.7316
0.0000 0.0000 0.5000
0.1671 0.1671 0.7696
0.1802 0.6699 0.7514
0.3301 0.8198 0.2486
0.3499 0.3499 0.2999
0.6501 0.6501 0.7001
0.6699 0.1802 0.7514
0.8198 0.3301 0.2486
0.8329 0.8329 0.2304

=====

Which of them is most stable, and which least? Most stable: B); least stable: A).

=====

A) FeNiSb2 (GGA-PBE, relaxed); density of states at the Fermi level = 1.280 states/eV/atom; V = 19.49 Å³ per atom; size of the total moment = 3.15 μB per formula unit
1.0
3.2076 0.0000 0.0000
0.0000 3.2076 0.0000
0.0000 0.0000 7.5790
Fe Ni Sb
1 1 2
Direct
0.0000 0.0000 0.0000
0.5000 0.5000 0.1547
0.0000 0.0000 0.3574
0.5000 0.5000 0.7864

=====

B) FeNiSb2 (GGA-PBE, relaxed); density of states at the Fermi level = 0.992 states/eV/atom; V = 16.51 Å³ per atom; size of the total moment = 0.00 μB per formula unit
1.0
0.0000 3.2083 3.2083
3.2083 0.0000 3.2083
3.2083 3.2083 0.0000
Fe Ni Sb
1 1 2
Direct
0.0000 0.0000 0.0000
0.5000 0.5000 0.5000
0.2500 0.2500 0.2500
0.7500 0.7500 0.7500

=====

Which of them is most stable, and which least? Most stable: A); least stable: B).